[1]
# Li4CeGa4

A relaxed structure of Li4CeGa4 (PBE-GGA, Alexandria).

abc: 5.9273 5.9273 9.2642
angles: 90.00 90.00 90.00
With the nearest neighbours (Å) after each atom.
Element x y z (fractional)
Ga1 0.0000 0.2801 0.7100  5 Li 2.60-2.72, 1 Ga 2.61
Ga2 0.7801 0.5000 0.2100  5 Li 2.60-2.72, 1 Ga 2.61
Ga3 0.0000 0.7199 0.7100  5 Li 2.60-2.72, 1 Ga 2.61
Ga4 0.7199 0.0000 0.2900  5 Li 2.60-2.72, 1 Ga 2.61
Ga5 0.2801 0.0000 0.2900  5 Li 2.60-2.72, 1 Ga 2.61
Ga6 0.2199 0.5000 0.2100  5 Li 2.60-2.72, 1 Ga 2.61
Ga7 0.5000 0.2199 0.7900  5 Li 2.60-2.72, 1 Ga 2.61
Ga8 0.5000 0.7801 0.7900  5 Li 2.60-2.72, 1 Ga 2.61
Ce1 0.5000 0.5000 0.5000  4 Ga 3.16, 8 Li 3.35
Ce2 0.0000 0.0000 0.0000  4 Ga 3.16, 8 Li 3.35
Li1 0.7279 0.0000 0.5834  5 Ga 2.60-2.72, 3 Li 2.70-2.76
Li2 0.2721 0.0000 0.5834  5 Ga 2.60-2.72, 3 Li 2.70-2.76
Li3 0.5000 0.2279 0.0834  5 Ga 2.60-2.72, 3 Li 2.70-2.76
Li4 0.0000 0.2721 0.4166  5 Ga 2.60-2.72, 3 Li 2.70-2.76
Li5 0.5000 0.7721 0.0834  5 Ga 2.60-2.72, 3 Li 2.70-2.76
Li6 0.0000 0.7279 0.4166  5 Ga 2.60-2.72, 3 Li 2.70-2.76
Li7 0.2279 0.5000 0.9166  5 Ga 2.60-2.72, 3 Li 2.70-2.76
Li8 0.7721 0.5000 0.9166  5 Ga 2.60-2.72, 3 Li 2.70-2.76

**Formation energy**: -227 meV/atom
**Symmetry**: P4_2/nmc

=====

[2]
# NdDy2Y2Mg2

A relaxed structure of NdDy2Y2Mg2 (PBE-GGA, Alexandria).

abc: 5.4962 5.4962 8.6461
angles: 71.47 71.47 60.00
With the nearest neighbours (Å) after each atom.
Element x y z (fractional)
Dy1 0.5722 0.5722 0.2833  4 Mg 3.35-3.40, 1 Dy 3.49, 3 Y 3.50
Dy2 0.4278 0.4278 0.7167  4 Mg 3.35-3.40, 1 Dy 3.49, 3 Y 3.50
Y1 0.8441 0.8441 0.4676  1 Mg 3.21, 3 Y 3.22, 3 Dy 3.50
Y2 0.1559 0.1559 0.5324  1 Mg 3.21, 3 Y 3.22, 3 Dy 3.50
Mg1 0.7110 0.7110 0.8671  1 Y 3.21, 4 Dy 3.35-3.40, 3 Nd 3.35
Mg2 0.2890 0.2890 0.1329  1 Y 3.21, 4 Dy 3.35-3.40, 3 Nd 3.35
Nd1 0.0000 0.0000 0.0000  6 Mg 3.35

**Formation energy**: -29 meV/atom
**Symmetry**: R-3m

=====

[3]
# TiCoRe3

A relaxed structure of TiCoRe3 (PBE-GGA, Alexandria).

abc: 4.4906 4.4906 4.4906
angles: 90.00 90.00 90.00
With the nearest neighbours (Å) after each atom.
Element x y z (fractional)
Co1 0.5000 0.5000 0.5000  12 Re 3.18
Re1 0.0000 0.0000 0.5000  2 Ti 2.25
Re2 0.5000 0.0000 0.0000  2 Ti 2.25
Re3 0.0000 0.5000 0.0000  2 Ti 2.25
Ti1 0.0000 0.0000 0.0000  6 Re 2.25

**Formation energy**: 2109 meV/atom
**Symmetry**: Pm-3m

=====

[4]
# GePO2F

A relaxed structure of GePO2F (PBE-GGA, Alexandria).

abc: 3.5498 3.5498 5.3449
angles: 90.00 90.00 90.00
With the nearest neighbours (Å) after each atom.
Element x y z (fractional)
O1 0.5000 0.0000 0.0000  2 Ge 1.77
O2 0.0000 0.5000 0.0000  2 Ge 1.77
F1 0.5000 0.5000 0.5000  4 P 2.51
P1 0.0000 0.0000 0.5000  4 F 2.51, 2 Ge 2.67
Ge1 0.0000 0.0000 0.0000  4 O 1.77

**Formation energy from raw total energies**: -0.403 eV/atom
**Symmetry**: P4/mmm

=====

[5]
# Ba2TlCdIr

A relaxed structure of Ba2TlCdIr (PBE-GGA, Alexandria).

abc: 6.0846 6.0846 5.2984
angles: 90.00 90.00 90.00
With the nearest neighbours (Å) after each atom.
Element x y z (fractional)
Ir1 0.0000 0.0000 0.0000  2 Tl 2.65
Cd1 0.5000 0.5000 0.5000  8 Ba 4.03, 4 Tl 4.30
Ba1 0.5000 0.0000 0.0000  2 Ir 3.04
Ba2 0.0000 0.5000 0.0000  2 Ir 3.04
Tl1 0.0000 0.0000 0.5000  2 Ir 2.65

**Formation energy**: -156 meV/atom
**Symmetry**: P4/mmm

=====

[6]
# CaOs2Se

A relaxed structure of CaOs2Se (PBE-GGA, Alexandria).

abc: 5.7635 5.7635 4.5965
angles: 67.90 67.90 29.71
With the nearest neighbours (Å) after each atom.
Element x y z (fractional)
Os1 0.4700 0.4700 0.5127  6 Os 2.68-2.95, 2 Se 2.70
Os2 0.0300 0.0300 0.9873  6 Os 2.68-2.95, 2 Se 2.70
Ca1 0.2500 0.2500 0.2500  4 Se 2.73, 2 Ca 2.95
Se1 0.7500 0.7500 0.7500  4 Os 2.70, 4 Ca 2.73, 2 Se 2.95

**Formation energy from raw total energies**: 0.313 eV/atom
**Symmetry**: C2/m

=====

[7]
# Sm2Be3GaCu12

A relaxed structure of Sm2Be3GaCu12 (PBE-GGA, Alexandria).

abc: 7.3302 7.3302 7.3302
angles: 61.78 61.78 61.78
With the nearest neighbours (Å) after each atom.
Element x y z (fractional)
Sm1 0.3962 0.3962 0.3962  6 Cu 2.82-2.86
Sm2 0.6038 0.6038 0.6038  6 Cu 2.82-2.86
Be1 0.0000 0.0000 0.5000  6 Cu 2.09-2.13
Be2 0.5000 0.0000 0.0000  6 Cu 2.09-2.13
Be3 0.0000 0.5000 0.0000  6 Cu 2.09-2.13
Cu1 0.6634 0.6634 0.0995  2 Be 2.09
Cu2 0.8745 0.8745 0.3912  1 Be 2.13
Cu3 0.9005 0.3366 0.3366  2 Be 2.09
Cu4 0.1255 0.1255 0.6088  1 Be 2.13
Cu5 0.6634 0.0995 0.6634  2 Be 2.09
Cu6 0.3366 0.9005 0.3366  2 Be 2.09
Cu7 0.0995 0.6634 0.6634  2 Be 2.09
Cu8 0.3912 0.8745 0.8745  1 Be 2.13
Cu9 0.1255 0.6088 0.1255  1 Be 2.13
Cu10 0.6088 0.1255 0.1255  1 Be 2.13
Cu11 0.8745 0.3912 0.8745  1 Be 2.13
Cu12 0.3366 0.3366 0.9005  2 Be 2.09
Ga1 0.0000 0.0000 0.0000  6 Cu 2.39

**Formation energy**: 284 meV/atom
**Symmetry**: R-3m

=====

[8]
# MgAg6Ge

A relaxed structure of MgAg6Ge (PBE-GGA, Alexandria).

abc: 4.2105 5.8471 5.8471
angles: 89.83 90.00 90.00
With the nearest neighbours (Å) after each atom.
Element x y z (fractional)
Ag1 0.5000 0.5000 0.0000  2 Ge 2.92, 2 Mg 2.92, 8 Ag 2.95
Ag2 0.0000 0.7515 0.7515  8 Ag 2.91-2.95, 2 Mg 2.94, 2 Ge 2.96
Ag3 0.0000 0.7504 0.2496  8 Ag 2.91-2.95, 2 Mg 2.95, 2 Ge 2.95
Ag4 0.0000 0.2496 0.7504  8 Ag 2.91-2.95, 2 Mg 2.95, 2 Ge 2.95
Ag5 0.0000 0.2485 0.2485  8 Ag 2.91-2.95, 2 Mg 2.94, 2 Ge 2.96
Ag6 0.5000 0.0000 0.5000  2 Mg 2.92, 2 Ge 2.92, 8 Ag 2.95
Ge1 0.5000 0.5000 0.5000  12 Ag 2.92-2.96
Mg1 0.5000 0.0000 0.0000  12 Ag 2.92-2.95

**Formation energy**: -14 meV/atom
**Symmetry**: Cmmm

=====

no.,mass density (g/cm3),electronic total energy (eV per atom)
1,4.56,-3.082
2,5.49,-4.327
3,12.20,-8.360
4,3.81,-4.766
5,6.63,-3.353
6,11.90,-6.673
7,6.65,-3.760
8,8.58,-2.929